Zr2SiRh, relaxed, DFT GGA-PBE; E_form (uncorrected) = -0.29 eV/atom; space-group type = No. 216; uncorrected energy = -31.024 eV/cell
1.0
0.000 3.279 3.279
3.279 0.000 3.279
3.279 3.279 0.000
Zr Si Rh
2 1 1
direct
0.000 0.000 0.000
0.250 0.250 0.250
0.750 0.750 0.750
0.500 0.500 0.500